[1]
Entry from Alexandria via LeMat-Bulk: CsPbNO2 at its PBEsol-relaxed geometry (SCAN).

Lattice parameters (Å, degrees): 4.366 4.366 4.669 90.00 90.00 90.00
Last column: magnetic moment on the atom in μB.
Element x y z (fractional)
Cs: 0.500 0.500 0.500  0.05
Pb: 0.000 0.000 0.000  -0.05
O: 0.000 0.500 0.000  0.10
O: 0.500 0.000 0.000  0.10
N: 0.000 0.000 0.500  1.27

Results
DOS(E_F) (states/eV/atom): 0.2840
Energy relative to the elements, uncorrected (eV/atom): -0.09



[2]
Entry from Alexandria via LeMat-Bulk: AlCu2Ni at its PBEsol-relaxed geometry (SCAN).

Lattice parameters (Å, degrees): 2.939 2.939 5.362 90.00 90.00 90.00
Element x y z (fractional)
Cu: 0.000 0.000 0.008
Cu: 0.500 0.500 0.251
Ni: 0.000 0.000 0.503
Al: 0.500 0.500 0.739

Results
DOS(E_F) (states/eV/atom): 0.4131
Energy relative to the elements (eV per atom): -0.296



[3]
Entry from Alexandria via LeMat-Bulk: Co2As2O7 at its PBEsol-relaxed geometry (SCAN).

Lattice parameters (Å, degrees): 4.868 5.285 5.285 107.62 96.36 96.36
Last column: magnetic moment on the atom in μB.
Element x y z (fractional)
Co: 0.492 0.688 0.311  2.67
Co: 0.492 0.311 0.688  2.67
As: 0.893 0.230 0.230  0.01
As: 0.104 0.740 0.740  0.03
O: 0.292 0.934 0.583  0.09
O: 0.703 0.399 0.061  0.07
O: 0.292 0.583 0.934  0.09
O: 0.204 0.430 0.430  0.07
O: 0.075 0.020 0.020  0.01
O: 0.753 0.608 0.608  0.07
O: 0.703 0.061 0.399  0.07

Results
Energy relative to the elements, uncorrected (eV/atom): -1.28